Computed, not measured: crystalline LaHo2MoO8 at its relaxed geometry at the PBE+U level of DFT.

POSCAR file:
```
LaHo2MoO8
1.0
-1.6533 4.6848 -0.7833
-2.8090 -0.3539 4.1565
5.3303 2.5193 3.8167
La Ho Mo O
1 2 1 8
Direct
0.0000 0.0000 0.5000 La
0.5000 0.5000 0.7612 Ho
0.5000 0.5000 0.2388 Ho
0.0000 0.0000 0.0000 Mo
0.1852 0.8141 0.2027 O
0.7214 0.7221 0.0000 O
0.8148 0.1859 0.2027 O
0.8148 0.1859 0.7973 O
0.2786 0.2779 0.0000 O
0.1852 0.8141 0.7973 O
0.6790 0.6801 0.5000 O
0.3210 0.3199 0.5000 O
```

Computed properties:
final energy = -7.761 eV per atom
D(E_F) = 4.3 states/eV/f.u.
SG = Cmmm (65)
spin magnetization = 0.9 μB/f.u.